# 1
A geometry-optimized Tm3Zn3NiIr2 structure, computed with PBE-GGA.

a b c (Å): 7.0346 7.0346 3.8277
angles (deg): 90.00 90.00 120.00
Space group P-62m (No. 189)
Unique sites:
Tm 0.0000 0.4051 0.0000
Zn 0.0000 0.7585 0.5000
Ni 0.0000 0.0000 0.0000
Ir 0.3333 0.6667 0.5000

Values from the calculation:
The value obtained for the formation enthalpy at 0 K is -662 meV per atom. As for the size of the total moment: 0.0 μB/f.u. For the calculated volume, the calculation gives 18.226 Å³ per atom.

=====

# 2
A geometry-optimized NiIrW6 structure, computed with PBE-GGA.

a b c (Å): 5.6029 5.6029 4.5383
angles (deg): 90.00 90.00 120.00
Space group P-6m2 (No. 187)
Unique sites:
Ni 0.0000 0.0000 0.0000
Ir 0.6667 0.3333 0.5000
W 0.0104 0.5052 0.0000
W 0.1657 0.3315 0.5000

Values from the calculation:
The value obtained for the formation enthalpy at 0 K is 194 meV per atom. As for the size of the total moment: 0.0 μB/f.u. For the calculated volume, the calculation gives 15.423 Å³ per atom.

=====

# 3
A geometry-optimized Y2NiIr structure, computed with PBE-GGA.

a b c (Å): 4.8308 4.8308 6.8140
angles (deg): 90.00 90.00 90.00
Space group I4/mmm (No. 139)
Unique sites:
Y 0.0000 0.5000 0.2500
Ni 0.0000 0.0000 0.0000
Ir 0.0000 0.0000 0.5000

Values from the calculation:
The value obtained for the formation enthalpy at 0 K is -628 meV per atom. As for the size of the total moment: 0.0 μB/f.u. For the calculated volume, the calculation gives 19.877 Å³ per atom.

=====

# 4
A geometry-optimized YNi2Ir structure, computed with PBE-GGA.

a b c (Å): 6.2892 6.2892 6.2892
angles (deg): 90.00 90.00 90.00
Space group F-43m (No. 216)
Unique sites:
Y 0.0000 0.0000 0.0000
Ni 0.0000 0.0000 0.5000
Ni 0.2500 0.2500 0.7500
Ir 0.2500 0.2500 0.2500

Values from the calculation:
The value obtained for the formation enthalpy at 0 K is -65 meV per atom. As for the size of the total moment: 0.1 μB/f.u. For the calculated volume, the calculation gives 15.547 Å³ per atom.

=====

# 5
A geometry-optimized Y2NiIr structure, computed with PBE-GGA.

a b c (Å): 4.7996 4.7996 3.4218
angles (deg): 90.00 90.00 90.00
Space group P4/mmm (No. 123)
Unique sites:
Y 0.0000 0.5000 0.0000
Ni 0.0000 0.0000 0.5000
Ir 0.5000 0.5000 0.5000

Values from the calculation:
The value obtained for the formation enthalpy at 0 K is -611 meV per atom. As for the size of the total moment: 0.0 μB/f.u. For the calculated volume, the calculation gives 19.706 Å³ per atom.

=====

# 6
A geometry-optimized Y2NiIr structure, computed with PBE-GGA.

a b c (Å): 5.6267 4.0858 7.8179
angles (deg): 90.00 110.31 90.00
Space group P2_1/m (No. 11)
Unique sites:
Y 0.2119 0.2500 0.4319
Y 0.2149 0.2500 0.9250
Ni 0.3503 0.7500 0.2106
Ir 0.3562 0.7500 0.7156

Values from the calculation:
The value obtained for the formation enthalpy at 0 K is -659 meV per atom. As for the size of the total moment: 0.0 μB/f.u. For the calculated volume, the calculation gives 21.070 Å³ per atom.

=====

# 7
A geometry-optimized YNi3Ir2 structure, computed with PBE-GGA.

a b c (Å): 5.0146 5.0146 4.1724
angles (deg): 90.00 90.00 120.00
Space group P6/mmm (No. 191)
Unique sites:
Y 0.0000 0.0000 0.0000
Ni 0.0000 0.5000 0.5000
Ir 0.3333 0.6667 0.0000

Values from the calculation:
The value obtained for the formation enthalpy at 0 K is -263 meV per atom. As for the size of the total moment: 0.1 μB/f.u. For the calculated volume, the calculation gives 15.144 Å³ per atom.

=====

# 8
A geometry-optimized Y2NiIr structure, computed with PBE-GGA.

a b c (Å): 6.8212 6.8212 6.8212
angles (deg): 90.00 90.00 90.00
Space group Fm-3m (No. 225)
Unique sites:
Y 0.2500 0.2500 0.2500
Ni 0.0000 0.0000 0.0000
Ir 0.0000 0.0000 0.5000

Values from the calculation:
The value obtained for the formation enthalpy at 0 K is -628 meV per atom. As for the size of the total moment: 0.0 μB/f.u. For the calculated volume, the calculation gives 19.836 Å³ per atom.